Entry 1:
{
  "formula": "Rb6CaSe4",
  "functional": "PBE",
  "state": "relaxed",
  "cell": [[11.0366, 0.0000, 0.0000], [-5.5183, 9.5580, 0.0000], [0.0000, 0.0000, 8.4964]],
  "species": ["Rb", "Rb", "Rb", "Rb", "Rb", "Rb", "Rb", "Rb", "Rb", "Rb", "Rb", "Rb", "Ca", "Ca", "Se", "Se", "Se", "Se", "Se", "Se", "Se", "Se"],
  "frac_coords": [[0.0633, 0.5317, 0.0000], [0.1454, 0.2909, 0.3244], [0.1454, 0.8546, 0.3244], [0.2909, 0.1454, 0.8244], [0.4683, 0.5317, 0.0000], [0.4683, 0.9367, 0.0000], [0.5317, 0.0633, 0.5000], [0.5317, 0.4683, 0.5000], [0.7091, 0.8546, 0.3244], [0.8546, 0.1454, 0.8244], [0.8546, 0.7091, 0.8244], [0.9367, 0.4683, 0.5000], [0.3333, 0.6667, 0.6134], [0.6667, 0.3333, 0.1134], [0.1913, 0.3827, 0.7180], [0.1913, 0.8087, 0.7180], [0.3333, 0.6667, 0.2781], [0.3827, 0.1913, 0.2180], [0.6173, 0.8087, 0.7180], [0.6667, 0.3333, 0.7781], [0.8087, 0.1913, 0.2180], [0.8087, 0.6173, 0.2180]],
  "sg": "P6_3mc, No. 186",
  "volume_a3_per_cell": 896.3,
  "formation_energy_uncorrected_mev_per_atom": -1239.7,
  "rho_g_cm3": 3.22
}



Entry 2:
{
  "formula": "RbCa3Se",
  "functional": "PBE",
  "state": "relaxed",
  "cell": [[5.9891, 0.0000, 0.0000], [0.0000, 5.9891, 0.0000], [0.0000, 0.0000, 5.9891]],
  "species": ["Rb", "Ca", "Ca", "Ca", "Se"],
  "frac_coords": [[0.0000, 0.0000, 0.0000], [0.0000, 0.5000, 0.5000], [0.5000, 0.0000, 0.5000], [0.5000, 0.5000, 0.0000], [0.5000, 0.5000, 0.5000]],
  "sg": "Pm-3m, No. 221",
  "volume_a3_per_cell": 214.8,
  "formation_energy_uncorrected_mev_per_atom": -476.7,
  "rho_g_cm3": 2.20,
  "e_above_lowest_polymorph_mev_per_atom": 0
}



Entry 3:
{
  "formula": "Rb2CaSe2",
  "functional": "PBE",
  "state": "relaxed",
  "cell": [[8.3365, 0.0000, 0.0000], [0.0000, 8.3365, 0.0000], [0.0000, 0.0000, 5.0684]],
  "species": ["Rb", "Rb", "Rb", "Rb", "Ca", "Ca", "Se", "Se", "Se", "Se"],
  "frac_coords": [[0.1340, 0.3660, 0.0000], [0.3660, 0.8660, 0.0000], [0.6340, 0.1340, 0.0000], [0.8660, 0.6340, 0.0000], [0.0000, 0.0000, 0.5000], [0.5000, 0.5000, 0.5000], [0.1839, 0.6839, 0.5000], [0.3161, 0.1839, 0.5000], [0.6839, 0.8161, 0.5000], [0.8161, 0.3161, 0.5000]],
  "sg": "P4/mbm, No. 127",
  "volume_a3_per_cell": 352.2,
  "formation_energy_uncorrected_mev_per_atom": -1121.7,
  "rho_g_cm3": 3.48,
  "e_above_lowest_polymorph_mev_per_atom": 281
}



Entry 4:
{
  "formula": "RbCaSe3",
  "functional": "PBE",
  "state": "relaxed",
  "cell": [[5.6655, 0.0000, 0.0000], [0.0000, 5.6655, 0.0000], [0.0000, 0.0000, 5.6655]],
  "species": ["Rb", "Ca", "Se", "Se", "Se"],
  "frac_coords": [[0.0000, 0.0000, 0.0000], [0.5000, 0.5000, 0.5000], [0.0000, 0.5000, 0.5000], [0.5000, 0.0000, 0.5000], [0.5000, 0.5000, 0.0000]],
  "sg": "Pm-3m, No. 221",
  "volume_a3_per_cell": 181.9,
  "formation_energy_uncorrected_mev_per_atom": -665.2,
  "rho_g_cm3": 3.31,
  "e_above_lowest_polymorph_mev_per_atom": 0
}



Entry 5:
{
  "formula": "RbCaSe2",
  "functional": "PBE",
  "state": "relaxed",
  "cell": [[0.0000, 3.8402, 3.8402], [3.8402, 0.0000, 3.8402], [3.8402, 3.8402, 0.0000]],
  "species": ["Rb", "Ca", "Se", "Se"],
  "frac_coords": [[0.0000, 0.0000, 0.0000], [0.5000, 0.5000, 0.5000], [0.2500, 0.2500, 0.2500], [0.7500, 0.7500, 0.7500]],
  "sg": "Fm-3m, No. 225",
  "volume_a3_per_cell": 113.3,
  "formation_energy_uncorrected_mev_per_atom": -1050.0,
  "rho_g_cm3": 4.16
}



Entry 6:
{
  "formula": "Rb2CaSe2",
  "functional": "PBE",
  "state": "relaxed",
  "cell": [[-3.0354, 3.0354, 4.9956], [3.0354, -3.0354, 4.9956], [3.0354, 3.0354, -4.9956]],
  "species": ["Rb", "Rb", "Ca", "Se", "Se"],
  "frac_coords": [[0.1519, 0.1519, 0.0000], [0.8481, 0.8481, 0.0000], [0.5000, 0.5000, 0.0000], [0.2500, 0.7500, 0.5000], [0.7500, 0.2500, 0.5000]],
  "sg": "I4/mmm, No. 139",
  "volume_a3_per_cell": 184.1,
  "formation_energy_uncorrected_mev_per_atom": -645.0,
  "rho_g_cm3": 3.33,
  "e_above_lowest_polymorph_mev_per_atom": 757
}